A plane-wave DFT calculation with PBE was carried out for Ba2IBr after structural relaxation.

The structure in extended XYZ format:
```
4
Lattice="4.199 0.000 0.000 0.000 4.199 0.000 0.000 0.000 8.404" Properties=species:S:1:pos:R:3 pbc="T T T"
Ba 0.000 0.000 2.060
Ba 0.000 0.000 6.344
I 2.099 2.099 4.202
Br 2.099 2.099 0.000
```

Properties
Space-group type: P4/mmm
Distance to the lowest polymorph of the same formula, meV/atom: 125.1

***

A plane-wave DFT calculation with PBE was carried out for Ba3IBr after structural relaxation.

The structure in extended XYZ format:
```
5
Lattice="6.377 0.000 0.000 0.000 6.377 0.000 0.000 0.000 6.377" Properties=species:S:1:pos:R:3 pbc="T T T"
Ba 0.000 0.000 3.189
Ba 0.000 3.189 0.000
Ba 3.189 0.000 0.000
I 3.189 3.189 3.189
Br 0.000 0.000 0.000
```

Properties
Space-group type: Pm-3m
Distance to the lowest polymorph of the same formula, meV/atom: 0.0

***

A plane-wave DFT calculation with PBE was carried out for Ba4I6Br after structural relaxation.

The structure in extended XYZ format:
```
22
Lattice="11.688 0.000 0.000 -5.844 10.122 0.000 0.000 0.000 8.684" Properties=species:S:1:pos:R:3 pbc="T T T"
Ba 0.000 3.667 0.000
Ba -2.668 8.288 0.000
Ba 0.000 6.748 4.412
Ba 3.176 1.834 4.342
Ba 2.668 8.288 0.000
Ba 5.844 3.374 0.070
Ba 8.512 1.834 4.342
Ba 5.844 6.455 4.342
I -2.318 5.410 2.177
I 0.000 3.044 5.151
I -3.208 8.600 5.151
I 2.636 1.522 0.809
I 2.318 5.410 2.177
I 0.000 9.425 2.177
I 5.844 0.697 6.518
I 3.526 4.713 6.518
I 3.208 8.600 5.151
I 9.052 1.522 0.809
I 5.844 7.079 0.809
I 8.162 4.713 6.518
Br 0.000 6.748 7.620
Br 5.844 3.374 3.279
```

Properties
Space-group type: P6_3mc

***

A plane-wave DFT calculation with PBE was carried out for BaI2Br after structural relaxation.

The structure in extended XYZ format:
```
8
Lattice="-2.484 2.484 13.215 2.484 -2.484 13.215 2.484 2.484 -13.215" Properties=species:S:1:pos:R:3 pbc="T T T"
Ba 0.000 0.000 0.000
Ba 0.000 2.484 6.607
I 3.726 1.208 -3.304
I 1.208 1.242 3.304
I -1.242 1.276 9.911
I 1.276 1.242 16.519
Br 2.484 0.000 6.607
Br 0.000 0.000 13.215
```

Properties
Space-group type: I-42d
Distance to the lowest polymorph of the same formula, meV/atom: 0.0

***

A plane-wave DFT calculation with PBE was carried out for Ba2I3Br after structural relaxation.

The structure in extended XYZ format:
```
12
Lattice="9.783 -2.666 0.000 9.783 2.666 0.000 -5.593 0.000 11.830" Properties=species:S:1:pos:R:3 pbc="T T T"
Ba -0.197 0.000 5.053
Ba 5.990 0.000 2.086
Ba 7.983 0.000 9.744
Ba 14.170 0.000 6.776
I 3.116 0.000 0.087
I 3.338 0.000 4.612
I 4.535 0.000 8.994
I 9.438 0.000 2.836
I 10.635 0.000 7.217
I 10.857 0.000 11.743
Br -2.194 0.000 7.729
Br 16.167 0.000 4.101
```

Properties
Space-group type: C2/m

***

A plane-wave DFT calculation with PBE was carried out for Ba2IBr3 after structural relaxation.

The structure in extended XYZ format:
```
12
Lattice="5.628 3.249 4.600 -5.628 3.249 4.600 0.000 -6.498 4.600" Properties=species:S:1:pos:R:3 pbc="T T T"
Ba 0.000 0.000 0.000
Ba -2.814 -1.625 4.600
Ba -2.814 1.625 9.201
Ba 0.000 3.249 4.600
I 0.000 0.000 3.447
I 0.000 0.000 10.354
Br 0.000 -3.246 5.750
Br -2.811 1.623 5.750
Br -2.811 -1.623 8.051
Br 2.811 1.623 5.750
Br 2.811 -1.623 8.051
Br 0.000 3.246 8.051
```

Properties
Space-group type: R-3m

***

A plane-wave DFT calculation with PBE was carried out for BaIBr after structural relaxation.

The structure in extended XYZ format:
```
6
Lattice="5.962 0.000 0.000 0.000 5.975 0.000 -2.911 0.000 7.659" Properties=species:S:1:pos:R:3 pbc="T T T"
Ba 0.035 1.494 3.820
Ba 3.015 4.481 3.839
I 0.035 4.481 1.743
I 3.015 1.494 5.916
Br 0.033 4.481 5.463
Br 3.017 1.494 2.196
```

Properties
Space-group type: P2_1/m
Distance to the lowest polymorph of the same formula, meV/atom: 178.3

***

A plane-wave DFT calculation with PBE was carried out for Ba2IBr after structural relaxation.

The structure in extended XYZ format:
```
4
Lattice="2.236 1.291 9.608 -2.236 1.291 9.608 0.000 -2.582 9.608" Properties=species:S:1:pos:R:3 pbc="T T T"
Ba 0.000 0.000 0.000
Ba 0.000 0.000 4.724
I 0.000 0.000 16.761
Br 0.000 0.000 11.993
```

Properties
Space-group type: R3m
Distance to the lowest polymorph of the same formula, meV/atom: 17.3

***

A plane-wave DFT calculation with PBE was carried out for BaIBr after structural relaxation.

The structure in extended XYZ format:
```
18
Lattice="8.855 0.000 0.000 0.000 5.159 0.000 -0.027 0.000 15.317" Properties=species:S:1:pos:R:3 pbc="T T T"
Ba 2.008 1.290 3.842
Ba 2.373 3.869 14.043
Ba 2.392 1.290 8.984
Ba 6.435 3.869 6.333
Ba 6.454 1.290 1.274
Ba 6.819 3.869 11.475
I 0.260 3.869 1.771
I 1.212 3.869 6.393
I 4.227 1.290 12.070
I 4.600 3.869 3.247
I 7.615 1.290 8.924
I 8.567 1.290 13.546
Br 1.229 3.869 10.864
Br 3.125 1.290 0.659
Br 4.277 1.290 6.261
Br 4.551 3.869 9.056
Br 5.703 3.869 14.658
Br 7.598 1.290 4.453
```

Properties
Space-group type: P2_1/m
Distance to the lowest polymorph of the same formula, meV/atom: 6.8

***

A plane-wave DFT calculation with PBE was carried out for BaIBr2 after structural relaxation.

The structure in extended XYZ format:
```
8
Lattice="-4.748 4.748 3.741 4.748 -4.748 3.741 4.748 4.748 -3.741" Properties=species:S:1:pos:R:3 pbc="T T T"
Ba 0.000 0.000 0.000
Ba 0.000 4.748 1.871
I 4.748 0.000 1.871
I 0.000 0.000 3.741
Br 2.374 1.920 -0.935
Br 2.828 -2.374 4.677
Br 2.374 2.828 2.806
Br 1.920 7.122 0.935
```

Properties
Space-group type: I-42d
Distance to the lowest polymorph of the same formula, meV/atom: 76.0

***

A plane-wave DFT calculation with PBE was carried out for BaI2Br4 after structural relaxation.

The structure in extended XYZ format:
```
7
Lattice="-3.124 3.124 9.839 3.124 -3.124 9.839 3.124 3.124 -9.839" Properties=species:S:1:pos:R:3 pbc="T T T"
Ba 0.000 0.000 0.000
I 0.000 0.000 6.981
I 0.000 0.000 12.698
Br 3.124 0.000 0.000
Br 0.000 0.000 4.482
Br 0.000 3.124 0.000
Br 0.000 0.000 15.197
```

Properties
Space-group type: I4/mmm

***

A plane-wave DFT calculation with PBE was carried out for BaI3Br after structural relaxation.

The structure in extended XYZ format:
```
5
Lattice="6.823 0.000 0.000 0.000 6.823 0.000 0.000 0.000 6.823" Properties=species:S:1:pos:R:3 pbc="T T T"
Ba 0.000 0.000 0.000
I 0.000 0.000 3.412
I 0.000 3.412 0.000
I 3.412 0.000 0.000
Br 3.412 3.412 3.412
```

Properties
Space-group type: Pm-3m
Distance to the lowest polymorph of the same formula, meV/atom: 12.7

***

We obtain formation energy without anion corrections values of -1.286; -0.694; -1.695; -1.191; -1.890; -2.086; -1.842; -1.394; -2.013; -1.262; -0.725; -0.585 eV per atom for the records listed above, in that order.